FeRuW | PBE | optimized geometry

a = 5.961 Å, b = 5.961 Å, c = 5.961 Å
α = 153.90°, β = 153.90°, γ = 37.25°
Atoms (fractional coordinates):
Fe1 0.000 0.000 0.000
Ru1 0.649 0.649 0.000
W1 0.332 0.332 0.000

Properties
Final energy   -30.23 eV/cell
Crystal system   tetragonal
ΔE to the lowest computed polymorph   0.042 eV per atom
SG   I4mm
ΔE_f   0.15 eV/atom



FeRu2W | PBE | optimized geometry

a = 8.925 Å, b = 8.925 Å, c = 8.925 Å
α = 17.50°, β = 17.50°, γ = 17.50°
Atoms (fractional coordinates):
Fe1 0.000 0.000 0.000
Ru1 0.496 0.496 0.496
Ru2 0.743 0.743 0.743
W1 0.248 0.248 0.248

Properties
Final energy   -39.13 eV/cell
Crystal system   trigonal
ΔE to the lowest computed polymorph   0.194 eV per atom
SG   R3m
ΔE_f   0.21 eV/atom



FeRuW | PBE | optimized geometry

a = 4.962 Å, b = 4.962 Å, c = 4.962 Å
α = 143.93°, β = 143.93°, γ = 51.94°
Atoms (fractional coordinates):
Fe1 0.000 0.000 0.000
Ru1 0.332 0.332 0.000
W1 0.658 0.658 0.000

Properties
Final energy   -30.36 eV/cell
Crystal system   tetragonal
ΔE to the lowest computed polymorph   0.000 eV per atom
SG   I4mm
ΔE_f   0.11 eV/atom



Fe2RuW | PBE | optimized geometry

a = 2.658 Å, b = 4.123 Å, c = 5.057 Å
α = 90.00°, β = 102.47°, γ = 90.00°
Atoms (fractional coordinates):
Fe1 0.000 0.000 0.000
Fe2 0.200 0.500 0.778
Ru1 0.716 0.500 0.258
W1 0.451 0.000 0.517

Properties
Final energy   -38.60 eV/cell
Crystal system   monoclinic
ΔE to the lowest computed polymorph   0.078 eV per atom
SG   Pm
ΔE_f   0.14 eV/atom



FeRu2W | PBE | optimized geometry

a = 3.115 Å, b = 3.115 Å, c = 5.831 Å
α = 90.00°, β = 90.00°, γ = 90.00°
Atoms (fractional coordinates):
Fe1 0.000 0.000 0.000
Ru1 0.000 0.000 0.498
Ru2 0.500 0.500 0.192
W1 0.500 0.500 0.750

Properties
Final energy   -39.10 eV/cell
Crystal system   tetragonal
ΔE to the lowest computed polymorph   0.199 eV per atom
SG   P4mm
ΔE_f   0.22 eV/atom



FeRu2W | PBE | optimized geometry

a = 4.601 Å, b = 4.601 Å, c = 2.779 Å
α = 90.00°, β = 90.00°, γ = 107.12°
Atoms (fractional coordinates):
Fe1 0.000 0.000 0.000
Ru1 0.000 0.500 0.500
Ru2 0.500 0.000 0.500
W1 0.500 0.500 0.000

Properties
Final energy   -39.47 eV/cell
Crystal system   orthorhombic
ΔE to the lowest computed polymorph   0.107 eV per atom
SG   Cmmm
ΔE_f   0.12 eV/atom



Fe2RuW | PBE | optimized geometry

a = 4.602 Å, b = 4.602 Å, c = 4.602 Å
α = 131.91°, β = 131.91°, γ = 70.37°
Atoms (fractional coordinates):
Fe1 0.000 0.000 0.000
Fe2 0.750 0.250 0.500
Ru1 0.250 0.750 0.500
W1 0.500 0.500 0.000

Properties
Final energy   -38.76 eV/cell
Crystal system   tetragonal
ΔE to the lowest computed polymorph   0.038 eV per atom
SG   I-4m2
ΔE_f   0.10 eV/atom



Fe2RuW | PBE | optimized geometry

a = 2.662 Å, b = 3.605 Å, c = 5.323 Å
α = 90.00°, β = 90.00°, γ = 90.00°
Atoms (fractional coordinates):
Fe1 0.000 0.000 0.238
Fe2 0.000 0.000 0.762
Ru1 0.500 0.500 0.000
W1 0.500 0.500 0.500

Properties
Final energy   -38.60 eV/cell
Crystal system   orthorhombic
ΔE to the lowest computed polymorph   0.077 eV per atom
SG   Pmmm
ΔE_f   0.14 eV/atom



Fe2RuW | PBE | optimized geometry

a = 4.485 Å, b = 4.485 Å, c = 2.669 Å
α = 90.00°, β = 90.00°, γ = 107.85°
Atoms (fractional coordinates):
Fe1 0.000 0.500 0.000
Fe2 0.500 0.000 0.000
Ru1 0.000 0.000 0.500
W1 0.500 0.500 0.500

Properties
Final energy   -38.59 eV/cell
Crystal system   orthorhombic
ΔE to the lowest computed polymorph   0.081 eV per atom
SG   Cmmm
ΔE_f   0.14 eV/atom



Fe2RuW | PBE | optimized geometry

a = 3.715 Å, b = 3.715 Å, c = 3.725 Å
α = 90.00°, β = 90.00°, γ = 90.00°
Atoms (fractional coordinates):
Fe1 0.000 0.500 0.000
Fe2 0.500 0.000 0.000
Ru1 0.000 0.000 0.500
W1 0.500 0.500 0.500

Properties
Final energy   -38.91 eV/cell
Crystal system   tetragonal
ΔE to the lowest computed polymorph   0.000 eV per atom
SG   P4/mmm
ΔE_f   0.06 eV/atom



FeRuW | PBE | optimized geometry

a = 4.687 Å, b = 4.687 Å, c = 4.687 Å
α = 145.99°, β = 132.67°, γ = 59.56°
Atoms (fractional coordinates):
Fe1 0.000 0.000 0.000
Ru1 0.659 0.659 0.000
W1 0.331 0.331 0.000

Properties
Final energy   -30.32 eV/cell
Crystal system   orthorhombic
ΔE to the lowest computed polymorph   0.013 eV per atom
SG   Imm2
ΔE_f   0.12 eV/atom



Fe2RuW | PBE | optimized geometry

a = 4.243 Å, b = 4.243 Å, c = 4.243 Å
α = 60.00°, β = 60.00°, γ = 60.00°
Atoms (fractional coordinates):
Fe1 0.000 0.000 0.000
Fe2 0.250 0.250 0.250
Ru1 0.750 0.750 0.750
W1 0.500 0.500 0.500

Properties
Final energy   -38.74 eV/cell
Crystal system   cubic
ΔE to the lowest computed polymorph   0.043 eV per atom
SG   F-43m
ΔE_f   0.10 eV/atom